Model one:
Material: SrZr3Cu
Method: DFT, PBE
State: optimized geometry

## Properties
Space group: Pm-3m (221)
Crystal system: cubic
DOS at the Fermi energy (states/eV per cell): 9.3

a = 5.139 Å, b = 5.139 Å, c = 5.139 Å
α = 90.00°, β = 90.00°, γ = 90.00°
Sites, in units of the cell vectors:
Sr 0.000 0.000 0.000
Zr 0.000 0.000 0.500
Zr 0.000 0.500 0.000
Zr 0.500 0.000 0.000
Cu 0.500 0.500 0.500

---

Model two:
Material: SrZr3Cu
Method: DFT, PBE
State: optimized geometry

## Properties
Space group: Pm-3m (221)
Crystal system: cubic
DOS at the Fermi energy (states/eV per cell): 8.2

a = 5.123 Å, b = 5.123 Å, c = 5.123 Å
α = 90.00°, β = 90.00°, γ = 90.00°
Sites, in units of the cell vectors:
Sr 0.000 0.000 0.000
Zr 0.000 0.500 0.500
Zr 0.500 0.000 0.500
Zr 0.500 0.500 0.000
Cu 0.500 0.500 0.500

---

Q: Which of them is the least stable? A: model one.

---

Model one:
Material: Ta5Cu
Method: DFT, PBE
State: optimized geometry

## Properties
Space group: P-62m (189)
Crystal system: hexagonal
DOS at the Fermi energy (states/eV per cell): 7.5

a = 5.031 Å, b = 5.031 Å, c = 4.866 Å
α = 90.00°, β = 90.00°, γ = 120.00°
Sites, in units of the cell vectors:
Ta 0.000 0.666 0.000
Ta 0.333 0.667 0.500
Ta 0.334 0.334 0.000
Ta 0.666 0.000 0.000
Ta 0.667 0.333 0.500
Cu 0.000 0.000 0.500

---

Model two:
Material: Ta5Cu
Method: DFT, PBE
State: optimized geometry

## Properties
Space group: P4/mmm (123)
Crystal system: tetragonal
DOS at the Fermi energy (states/eV per cell): 7.4

a = 2.787 Å, b = 2.787 Å, c = 13.514 Å
α = 90.00°, β = 90.00°, γ = 90.00°
Sites, in units of the cell vectors:
Ta 0.000 0.000 0.000
Ta 0.000 0.000 0.353
Ta 0.000 0.000 0.647
Ta 0.500 0.500 0.179
Ta 0.500 0.500 0.821
Cu 0.500 0.500 0.500

---

Model three:
Material: Ta5Cu
Method: DFT, PBE
State: optimized geometry

## Properties
Space group: F-43m (216)
Crystal system: cubic
DOS at the Fermi energy (states/eV per cell): 6.4

a = 5.413 Å, b = 5.413 Å, c = 5.413 Å
α = 60.00°, β = 60.00°, γ = 60.00°
Sites, in units of the cell vectors:
Ta 0.000 0.000 0.000
Ta 0.120 0.627 0.627
Ta 0.627 0.120 0.627
Ta 0.627 0.627 0.120
Ta 0.627 0.627 0.627
Cu 0.250 0.250 0.250

---

Model four:
Material: Ta5Cu
Method: DFT, PBE
State: optimized geometry

## Properties
Space group: C2/m (12)
Crystal system: monoclinic
DOS at the Fermi energy (states/eV per cell): 5.2

a = 5.419 Å, b = 5.419 Å, c = 6.243 Å
α = 107.06°, β = 107.06°, γ = 36.83°
Sites, in units of the cell vectors:
Ta 0.000 0.000 0.000
Ta 0.336 0.336 0.171
Ta 0.338 0.338 0.666
Ta 0.662 0.662 0.334
Ta 0.664 0.664 0.829
Cu 0.000 0.000 0.500

---

Q: Which of them is the least stable? A: model three.

---

Model one:
Material: Ta5Cu
Method: DFT, PBE
State: optimized geometry

## Properties
Space group: P6/mmm (191)
Crystal system: hexagonal
DOS at the Fermi energy (states/eV per cell): 5.9

a = 5.582 Å, b = 5.582 Å, c = 4.518 Å
α = 90.00°, β = 90.00°, γ = 120.00°
Sites, in units of the cell vectors:
Ta 0.000 0.500 0.000
Ta 0.333 0.667 0.500
Ta 0.500 0.000 0.000
Ta 0.500 0.500 0.000
Ta 0.667 0.333 0.500
Cu 0.000 0.000 0.500

---

Model two:
Material: Ta5Cu
Method: DFT, PBE
State: optimized geometry

## Properties
Space group: Cmmm (65)
Crystal system: orthorhombic
DOS at the Fermi energy (states/eV per cell): 5.6

a = 7.085 Å, b = 7.085 Å, c = 3.405 Å
α = 90.00°, β = 90.00°, γ = 142.53°
Sites, in units of the cell vectors:
Ta 0.000 0.000 0.000
Ta 0.164 0.836 0.500
Ta 0.336 0.664 0.000
Ta 0.664 0.336 0.000
Ta 0.836 0.164 0.500
Cu 0.500 0.500 0.500

---

Q: Which of them is the least stable? A: model one.

---

Model one:
Material: TaCuTc2
Method: DFT, PBE
State: optimized geometry

## Properties
Space group: Fm-3m (225)
Crystal system: cubic
DOS at the Fermi energy (states/eV per cell): 4.3

a = 4.386 Å, b = 4.386 Å, c = 4.386 Å
α = 60.00°, β = 60.00°, γ = 60.00°
Sites, in units of the cell vectors:
Ta 0.000 0.000 0.000
Cu 0.500 0.500 0.500
Tc 0.250 0.250 0.250
Tc 0.750 0.750 0.750

---

Model two:
Material: TaCuTc2
Method: DFT, PBE
State: optimized geometry

## Properties
Space group: P4/mmm (123)
Crystal system: tetragonal
DOS at the Fermi energy (states/eV per cell): 3.1

a = 3.895 Å, b = 3.895 Å, c = 3.884 Å
α = 90.00°, β = 90.00°, γ = 90.00°
Sites, in units of the cell vectors:
Ta 0.000 0.000 0.000
Cu 0.500 0.500 0.000
Tc 0.000 0.500 0.500
Tc 0.500 0.000 0.500

---

Q: Which of them is the least stable? A: model one.

---

Model one:
Material: TaCu2Tc
Method: DFT, PBE
State: optimized geometry

## Properties
Space group: F-43m (216)
Crystal system: cubic
DOS at the Fermi energy (states/eV per cell): 3.7

a = 4.349 Å, b = 4.349 Å, c = 4.349 Å
α = 60.00°, β = 60.00°, γ = 60.00°
Sites, in units of the cell vectors:
Ta 0.000 0.000 0.000
Cu 0.500 0.500 0.500
Cu 0.750 0.750 0.750
Tc 0.250 0.250 0.250

---

Model two:
Material: TaCu2Tc
Method: DFT, PBE
State: optimized geometry

## Properties
Space group: I-42d (122)
Crystal system: tetragonal
DOS at the Fermi energy (states/eV per cell): 4.0

a = 9.854 Å, b = 9.854 Å, c = 9.854 Å
α = 158.90°, β = 158.90°, γ = 30.01°
Sites, in units of the cell vectors:
Ta 0.000 0.000 0.000
Ta 0.750 0.250 0.500
Cu 0.136 0.625 0.011
Cu 0.375 0.386 0.511
Cu 0.614 0.125 0.989
Cu 0.875 0.864 0.489
Tc 0.250 0.750 0.500
Tc 0.500 0.500 0.000

---

Model three:
Material: TaCu2Tc
Method: DFT, PBE
State: optimized geometry

## Properties
Space group: I-4m2 (119)
Crystal system: tetragonal
DOS at the Fermi energy (states/eV per cell): 2.4

a = 4.750 Å, b = 4.750 Å, c = 4.750 Å
α = 132.56°, β = 132.56°, γ = 69.35°
Sites, in units of the cell vectors:
Ta 0.000 0.000 0.000
Cu 0.500 0.500 0.000
Cu 0.750 0.250 0.500
Tc 0.250 0.750 0.500

---

Q: Which of them is the least stable? A: model two.

---

Model one:
Material: TaCu2Tc
Method: DFT, PBE
State: optimized geometry

## Properties
Space group: R3m (160)
Crystal system: trigonal
DOS at the Fermi energy (states/eV per cell): 3.6

a = 9.027 Å, b = 9.027 Å, c = 9.027 Å
α = 17.57°, β = 17.57°, γ = 17.57°
Sites, in units of the cell vectors:
Ta 0.000 0.000 0.000
Cu 0.495 0.495 0.495
Cu 0.753 0.753 0.753
Tc 0.242 0.242 0.242

---

Model two:
Material: TaCu2Tc
Method: DFT, PBE
State: optimized geometry

## Properties
Space group: Pmm2 (25)
Crystal system: orthorhombic
DOS at the Fermi energy (states/eV per cell): 2.7

a = 2.663 Å, b = 3.911 Å, c = 5.527 Å
α = 90.00°, β = 90.00°, γ = 90.00°
Sites, in units of the cell vectors:
Ta 0.000 0.000 0.000
Cu 0.000 0.000 0.515
Cu 0.500 0.500 0.736
Tc 0.500 0.500 0.264

---

Model three:
Material: TaCu2Tc
Method: DFT, PBE
State: optimized geometry

## Properties
Space group: P4/mmm (123)
Crystal system: tetragonal
DOS at the Fermi energy (states/eV per cell): 1.4

a = 3.681 Å, b = 3.681 Å, c = 4.175 Å
α = 90.00°, β = 90.00°, γ = 90.00°
Sites, in units of the cell vectors:
Ta 0.000 0.000 0.000
Cu 0.000 0.500 0.500
Cu 0.500 0.000 0.500
Tc 0.500 0.500 0.000

---

Model four:
Material: TaCu2Tc
Method: DFT, PBE
State: optimized geometry

## Properties
Space group: Pm (6)
Crystal system: monoclinic
DOS at the Fermi energy (states/eV per cell): 2.3

a = 2.677 Å, b = 4.229 Å, c = 5.092 Å
α = 90.00°, β = 98.03°, γ = 90.00°
Sites, in units of the cell vectors:
Ta 0.000 0.000 0.000
Cu 0.368 0.000 0.514
Cu 0.422 0.500 0.758
Tc 0.779 0.500 0.282

---

Q: Which of them is the least stable? A: model one.